# 1
Here is Np2AsN2 after structural relaxation from Alexandria via LeMat-Bulk. Energies are from PBE.

abc: 9.0832 3.7709 9.6174
angles: 90.00 90.00 90.00
Space group Pnma (No. 62)
Unique sites:
Np (0.0122, 0.2500, 0.1584)
Np (0.1579, 0.2500, 0.5315)
As (0.2433, 0.2500, 0.8190)
N (0.0462, 0.7500, 0.6019)
N (0.0952, 0.7500, 0.0501)

Properties
The total magnetization is 20.00 μB/cell. The calculation puts the formation energy (no corrections) at -0.99 eV per atom.

=====

# 2
Here is KCd2Te after structural relaxation from Alexandria via LeMat-Bulk. Energies are from PBE.

abc: 3.6003 3.6003 9.7456
angles: 90.00 90.00 90.00
Space group P4/mmm (No. 123)
Unique sites:
K (0.0000, 0.0000, 0.0000)
Cd (0.5000, 0.5000, 0.2704)
Te (0.0000, 0.0000, 0.5000)

Properties
The total magnetization is 0.00 μB/cell. The calculation puts the formation energy (no corrections) at -0.05 eV per atom.

=====

# 3
Here is NaCaBeRu2 after structural relaxation from Alexandria via LeMat-Bulk. Energies are from PBE.

abc: 4.7330 4.7330 4.3979
angles: 90.00 90.00 90.00
Space group P4/mmm (No. 123)
Unique sites:
Na (0.0000, 0.0000, 0.0000)
Ca (0.5000, 0.5000, 0.5000)
Be (0.0000, 0.0000, 0.5000)
Ru (0.0000, 0.5000, 0.0000)

Properties
As for the formation energy: 153.7 kJ/mol of atoms. The total magnetization is 2.52 μB/cell.

=====

# 4
Here is CoCuBr after structural relaxation from Alexandria via LeMat-Bulk. Energies are from PBE.

abc: 3.0455 3.0455 11.6685
angles: 90.00 90.00 90.00
Space group I4mm (No. 107)
Unique sites:
Co (0.0000, 0.0000, 0.0000)
Cu (0.0000, 0.0000, 0.6226)
Br (0.0000, 0.0000, 0.3717)

Properties
As for the energy above the lowest structure with this stoichiometry: 3.180 kcal/mol of atoms. The total magnetization is 4.36 μB/cell. The calculation puts the formation energy (no corrections) at 0.60 eV per atom.

=====

# 5
Here is PmSmHgAu after structural relaxation from Alexandria via LeMat-Bulk. Energies are from PBE.

abc: 7.4824 7.4824 7.4824
angles: 90.00 90.00 90.00
Space group F-43m (No. 216)
Unique sites:
Pm (0.0000, 0.0000, 0.0000)
Sm (0.0000, 0.0000, 0.5000)
Hg (0.2500, 0.2500, 0.2500)
Au (0.2500, 0.2500, 0.7500)

Properties
As for the energy above the lowest structure with this stoichiometry: 0.298 kcal/mol of atoms. As for the formation energy: -59.6 kJ/mol of atoms. The total magnetization is 0.00 μB/cell.

=====

# 6
Here is ScInMo2 after structural relaxation from Alexandria via LeMat-Bulk. Energies are from PBE.

abc: 9.6258 2.8722 5.3316
angles: 90.00 93.76 90.00
Space group Cm (No. 8)
Unique sites:
Sc (0.0000, 0.0000, 0.0000)
In (0.2561, 0.0000, 0.7455)
Mo (0.0182, 0.5000, 0.4804)
Mo (0.2584, 0.5000, 0.2579)

Properties
As for the formation energy: 22.7 kJ/mol of atoms. The total magnetization is 0.00 μB/cell.